Material: BeGaClF2
Method: DFT, PBE-GGA
State: optimized geometry

Values from the calculation:
E ... -4.14 eV per atom
Density of states at the Fermi level ... 0.0 states/eV/f.u.
Total magnetic moment ... 0.00 μB per formula unit

a b c (Å): 3.7764 4.7887 3.7764
angles (deg): 90.00 90.00 90.00
Closest atoms and distances in Å follow each position.
Element x y z (fractional)
Be (0.0000, 0.0000, 0.0000)  4 F 1.89
F (0.0000, 0.0000, 0.5000)  2 Be 1.89
F (0.5000, 0.0000, 0.0000)  2 Be 1.89
Ga (0.5000, 0.5000, 0.5000)  4 Cl 2.67
Cl (0.0000, 0.5000, 0.0000)  2 Be 2.39, 4 Ga 2.67

=====

Material: NdCd2In2
Method: DFT, PBE-GGA
State: optimized geometry

Values from the calculation:
E ... -2.43 eV per atom
Energy of formation from the pure elements ... -0.010 eV per atom
Density of states at the Fermi level ... 4.2 states/eV/f.u.
Total magnetic moment ... 0.00 μB per formula unit

a b c (Å): 5.1900 5.1900 12.6550
angles (deg): 90.00 90.00 120.00
Closest atoms and distances in Å follow each position.
Element x y z (fractional)
Nd (0.0000, 0.0000, 0.2500)  5 In 3.00-3.16
Nd (0.0000, 0.0000, 0.7500)  5 In 3.00-3.16
Cd (0.3333, 0.6667, 0.6150)  6 In 3.33-3.45, 1 Cd 3.42, 3 Nd 3.45
Cd (0.6667, 0.3333, 0.1150)  6 In 3.33-3.45, 1 Cd 3.42, 3 Nd 3.45
Cd (0.6667, 0.3333, 0.3850)  6 In 3.33-3.45, 1 Cd 3.42, 3 Nd 3.45
Cd (0.3333, 0.6667, 0.8850)  6 In 3.33-3.45, 1 Cd 3.42, 3 Nd 3.45
In (0.6667, 0.3333, 0.7500)  3 Nd 3.00
In (0.0000, 0.0000, 0.0000)  2 Nd 3.16, 6 Cd 3.33
In (0.0000, 0.0000, 0.5000)  2 Nd 3.16, 6 Cd 3.33
In (0.3333, 0.6667, 0.2500)  3 Nd 3.00

=====

Material: TlPbSe2
Method: DFT, PBE-GGA
State: optimized geometry

Values from the calculation:
E ... -3.62 eV per atom
Density of states at the Fermi level ... 3.2 states/eV/f.u.
Total magnetic moment ... 0.00 μB per formula unit

a b c (Å): 4.2553 4.2553 7.9691
angles (deg): 74.51 74.51 60.00
Closest atoms and distances in Å follow each position.
Element x y z (fractional)
Tl (0.4980, 0.4980, 0.5061)  6 Se 3.14-3.21
Pb (0.6676, 0.6676, 0.9973)  6 Se 3.03-3.04
Se (0.0787, 0.0787, 0.7639)  3 Pb 3.03, 3 Tl 3.14
Se (0.2558, 0.2558, 0.2327)  3 Pb 3.04, 3 Tl 3.21

=====

Material: Ho2TeCl
Method: DFT, PBE-GGA
State: optimized geometry

Values from the calculation:
E ... -4.64 eV per atom
Density of states at the Fermi level ... 1.8 states/eV/f.u.
Total magnetic moment ... 0.00 μB per formula unit

a b c (Å): 4.0083 4.0083 9.4076
angles (deg): 77.70 77.70 60.00
Closest atoms and distances in Å follow each position.
Element x y z (fractional)
Te (0.5000, 0.5000, 0.5000)  6 Ho 3.04
Ho (0.0948, 0.0948, 0.7156)  1 Cl 2.59
Ho (0.9052, 0.9052, 0.2844)  1 Cl 2.59
Cl (0.0000, 0.0000, 0.0000)  2 Ho 2.59

=====

Material: CdTc2Ru
Method: DFT, PBE-GGA
State: optimized geometry

Values from the calculation:
E ... -7.30 eV per atom
Energy of formation from the pure elements ... 0.428 eV per atom
Density of states at the Fermi level ... 3.9 states/eV/f.u.
Total magnetic moment ... 0.00 μB per formula unit

a b c (Å): 5.0585 5.0585 5.0585
angles (deg): 135.84 135.84 64.23
Closest atoms and distances in Å follow each position.
Element x y z (fractional)
Cd (0.2500, 0.7500, 0.5000)  4 Ru 2.69, 8 Tc 2.86
Ru (0.7500, 0.2500, 0.5000)  4 Cd 2.69, 8 Tc 2.86
Tc (0.0000, 0.0000, 0.0000)  4 Tc 2.69, 4 Cd 2.86, 4 Ru 2.86
Tc (0.5000, 0.5000, 0.0000)  4 Tc 2.69, 4 Ru 2.86, 4 Cd 2.86

=====

Material: Ce2HRu
Method: DFT, PBE-GGA
State: optimized geometry

Values from the calculation:
E ... -6.19 eV per atom
Density of states at the Fermi level ... 10.4 states/eV/f.u.
Total magnetic moment ... 1.35 μB per formula unit

a b c (Å): 4.0350 4.0350 7.8069
angles (deg): 75.02 75.02 60.00
Closest atoms and distances in Å follow each position.
Element x y z (fractional)
Ru (0.0000, 0.0000, 0.0000)  6 Ce 2.77
Ce (0.5998, 0.5998, 0.2007)  1 H 2.23
Ce (0.4002, 0.4002, 0.7993)  1 H 2.23
H (0.5000, 0.5000, 0.5000)  2 Ce 2.23

=====

Material: NbNiGe2B
Method: DFT, PBE-GGA
State: optimized geometry

Values from the calculation:
E ... -5.66 eV per atom
Energy of formation from the pure elements ... 0.691 eV per atom
Density of states at the Fermi level ... 4.0 states/eV/f.u.
Total magnetic moment ... 0.01 μB per formula unit

a b c (Å): 4.6386 3.6564 4.6386
angles (deg): 90.00 90.00 90.00
Closest atoms and distances in Å follow each position.
Element x y z (fractional)
Ni (0.0000, 0.0000, 0.0000)  2 B 1.83
Nb (0.5000, 0.5000, 0.5000)  8 Ge 2.95, 4 B 3.28
B (0.0000, 0.5000, 0.0000)  2 Ni 1.83
Ge (0.0000, 0.0000, 0.5000)  2 Ni 2.32
Ge (0.5000, 0.0000, 0.0000)  2 Ni 2.32

=====

Material: KSr2AcSe4
Method: DFT, PBE-GGA
State: optimized geometry

Values from the calculation:
E ... -4.71 eV per atom
Density of states at the Fermi level ... 0.0 states/eV/f.u.
Total magnetic moment ... 0.00 μB per formula unit

a b c (Å): 4.5246 7.7684 7.8048
angles (deg): 71.39 90.00 90.00
Closest atoms and distances in Å follow each position.
Element x y z (fractional)
K (0.5000, 0.5000, 0.0000)  6 Se 3.22-3.30
Sr (0.0000, 0.0000, 0.0000)  6 Se 3.21-3.24
Sr (0.5000, 0.0000, 0.5000)  6 Se 3.11-3.12
Ac (0.0000, 0.5000, 0.5000)  6 Se 3.12-3.18
Se (0.0000, 0.7600, 0.7326)  1 Ac 3.12, 3 Sr 3.12-3.21, 2 K 3.30
Se (0.0000, 0.2400, 0.2674)  1 Ac 3.12, 3 Sr 3.12-3.21, 2 K 3.30
Se (0.5000, 0.7500, 0.2589)  3 Sr 3.11-3.24, 2 Ac 3.18, 1 K 3.22
Se (0.5000, 0.2500, 0.7411)  3 Sr 3.11-3.24, 2 Ac 3.18, 1 K 3.22

=====

Material: La2Al2Os2C
Method: DFT, PBE-GGA
State: optimized geometry

Values from the calculation:
E ... -7.43 eV per atom
Energy of formation from the pure elements ... -0.424 eV per atom
Density of states at the Fermi level ... 4.2 states/eV/f.u.
Total magnetic moment ... 0.00 μB per formula unit

a b c (Å): 4.3355 6.2270 6.0745
angles (deg): 75.32 69.09 69.63
Closest atoms and distances in Å follow each position.
Element x y z (fractional)
La (0.5595, 0.1716, 0.7093)  2 C 2.82
La (0.4405, 0.8284, 0.2907)  2 C 2.82
Al (0.1632, 0.3969, 0.2766)  3 Os 2.51-2.53
Al (0.8368, 0.6031, 0.7234)  3 Os 2.51-2.53
Os (0.1951, 0.7000, 0.9098)  1 C 1.90
Os (0.8049, 0.3000, 0.0902)  1 C 1.90
C (0.0000, 0.0000, 0.0000)  2 Os 1.90

=====

Material: K2PPt3
Method: DFT, PBE-GGA
State: optimized geometry

Values from the calculation:
E ... -4.45 eV per atom
Energy of formation from the pure elements ... -0.161 eV per atom
Density of states at the Fermi level ... 1.2 states/eV/f.u.
Total magnetic moment ... 0.00 μB per formula unit

a b c (Å): 4.1728 6.2627 11.8347
angles (deg): 90.00 100.15 90.00
Closest atoms and distances in Å follow each position.
Element x y z (fractional)
K (0.1893, 0.7500, 0.3785)  6 Pt 3.13-3.42
K (0.8107, 0.2500, 0.6215)  6 Pt 3.13-3.42
K (0.9854, 0.7500, 0.9708)  2 K 3.20, 8 Pt 3.25-3.44
K (0.0146, 0.2500, 0.0292)  2 K 3.20, 8 Pt 3.25-3.44
P (0.3560, 0.7500, 0.7120)  4 Pt 2.23-2.28
P (0.6440, 0.2500, 0.2880)  4 Pt 2.23-2.28
Pt (0.4120, 0.4618, 0.8240)  1 P 2.23
Pt (0.5880, 0.5382, 0.1760)  1 P 2.23
Pt (0.4120, 0.0382, 0.8240)  1 P 2.23
Pt (0.5880, 0.9618, 0.1760)  1 P 2.23
Pt (0.8161, 0.7500, 0.6322)  2 P 2.28
Pt (0.1839, 0.2500, 0.3678)  2 P 2.28

=====

Material: ZrSnPd2
Method: DFT, PBE-GGA
State: optimized geometry

Values from the calculation:
E ... -6.29 eV per atom
Energy of formation from the pure elements ... -0.560 eV per atom
Density of states at the Fermi level ... 3.7 states/eV/f.u.
Total magnetic moment ... 0.00 μB per formula unit

a b c (Å): 3.9872 4.3197 4.3197
angles (deg): 90.00 90.00 90.00
Closest atoms and distances in Å follow each position.
Element x y z (fractional)
Zr (0.5000, 0.5000, 0.5000)  8 Pd 2.94, 4 Sn 3.05
Sn (0.5000, 0.0000, 0.0000)  8 Pd 2.94, 4 Zr 3.05
Pd (0.0000, 0.0000, 0.5000)  4 Zr 2.94, 4 Sn 2.94, 4 Pd 3.05
Pd (0.0000, 0.5000, 0.0000)  4 Zr 2.94, 4 Sn 2.94, 4 Pd 3.05

=====

Material: BaHfPdBr
Method: DFT, PBE-GGA
State: optimized geometry

Values from the calculation:
E ... -5.14 eV per atom
Density of states at the Fermi level ... 3.1 states/eV/f.u.
Total magnetic moment ... 0.00 μB per formula unit

a b c (Å): 5.3365 3.7221 11.7795
angles (deg): 90.00 90.00 90.00
Closest atoms and distances in Å follow each position.
Element x y z (fractional)
Br (0.0000, 0.0000, 0.7020)  2 Hf 2.70
Br (0.0000, 0.5000, 0.2020)  2 Hf 2.70
Hf (0.5000, 0.0000, 0.7367)  2 Pd 2.60, 2 Br 2.70
Hf (0.5000, 0.5000, 0.2367)  2 Pd 2.60, 2 Br 2.70
Ba (0.0000, 0.0000, 0.9745)  3 Br 3.21-3.26, 4 Pd 3.40
Ba (0.0000, 0.5000, 0.4745)  3 Br 3.21-3.26, 4 Pd 3.40
Pd (0.5000, 0.0000, 0.3912)  2 Hf 2.60
Pd (0.5000, 0.5000, 0.8912)  2 Hf 2.60